Here is crystalline FeReAgGe at its relaxed geometry from OQMD via LeMat-Bulk. Energies are from PBE.

Cell lengths 4.3637, 4.3637, 4.3637 Å; angles 60.00, 60.00, 60.00 degrees
Fractional positions:
Fe (0.0000, 0.0000, 0.0000)
Re (0.5000, 0.5000, 0.5000)
Ag (0.2500, 0.2500, 0.2500)
Ge (0.7500, 0.7500, 0.7500)

Calculated values
Density, kg/m3: 11942
Final energy, eV/cell: -25.9
Distance to the lowest polymorph of the same formula, meV per atom: 0.0